PBE-GGA AcPmNiRh, optimized geometry; space group = F-43m; formation enthalpy at 0 K = -0.39 eV per atom; excess energy over the best structure of this formula in the dataset = 101.4 meV per atom; size of the total moment = 0.00 μB/f.u.
1.0
0.0000 3.6002 3.6002
3.6002 0.0000 3.6002
3.6002 3.6002 0.0000
Ac Pm Ni Rh
1 1 1 1
direct
0.0000 0.0000 0.0000
0.5000 0.5000 0.5000
0.2500 0.2500 0.2500
0.7500 0.7500 0.7500


PBE-GGA CaCoNi2Pb, optimized geometry; space group = P4/mmm; formation enthalpy at 0 K = 1.34 eV per atom; size of the total moment = 1.29 μB/f.u.
1.0
4.6803 0.0000 0.0000
0.0000 4.6803 0.0000
0.0000 0.0000 4.6717
Ca Co Ni Pb
1 1 2 1
direct
0.0000 0.0000 0.0000
0.0000 0.0000 0.5000
0.0000 0.5000 0.0000
0.5000 0.0000 0.0000
0.5000 0.5000 0.5000


PBE-GGA TePH, optimized geometry; space group = P1; excess energy over the best structure of this formula in the dataset = 4.6 meV per atom; size of the total moment = 0.00 μB/f.u.
1.0
4.3435 0.0000 0.0000
0.0045 5.4594 0.0000
0.9106 1.0259 6.6224
Te P H
2 2 2
direct
0.0000 0.0000 0.0000
0.3900 0.3303 0.1617
0.9278 0.6124 0.2513
0.9389 0.7601 0.5401
0.2690 0.7748 0.5331
0.9119 0.5187 0.6596


PBE-GGA KSrH, optimized geometry; space group = P3m1; excess energy over the best structure of this formula in the dataset = 152.9 meV per atom; size of the total moment = 0.00 μB/f.u.
1.0
4.0805 0.0000 0.0000
-2.0402 3.5338 0.0000
0.0000 0.0000 7.0170
K Sr H
1 1 1
direct
0.0000 0.0000 0.0000
0.3333 0.6667 0.4755
0.6667 0.3333 0.2851


PBE-GGA SnBi2Pd9, optimized geometry; space group = P4/mmm; formation enthalpy at 0 K = -0.32 eV per atom; size of the total moment = 0.00 μB/f.u.
1.0
4.1125 0.0000 0.0000
0.0000 4.1125 0.0000
0.0000 0.0000 12.2746
Sn Bi Pd
1 2 9
direct
0.0000 0.0000 0.0000
0.0000 0.0000 0.3295
0.0000 0.0000 0.6705
0.0000 0.5000 0.1591
0.0000 0.5000 0.5000
0.0000 0.5000 0.8409
0.5000 0.0000 0.1591
0.5000 0.0000 0.5000
0.5000 0.0000 0.8409
0.5000 0.5000 0.0000
0.5000 0.5000 0.3307
0.5000 0.5000 0.6693


PBE-GGA Mg8Al2Ga, optimized geometry; space group = Immm; formation enthalpy at 0 K = -0.01 eV per atom; size of the total moment = 0.00 μB/f.u.
1.0
-2.4232 3.3105 7.2824
2.4232 -3.3105 7.2824
2.4232 3.3105 -7.2824
Mg Al Ga
8 2 1
direct
0.1206 0.3546 0.7660
0.1775 0.1775 0.0000
0.2640 0.0000 0.2640
0.4114 0.6454 0.7660
0.5886 0.3546 0.2340
0.7360 0.0000 0.7360
0.8225 0.8225 0.0000
0.8794 0.6454 0.2340
0.3179 0.8179 0.5000
0.6821 0.1821 0.5000
0.0000 0.5000 0.5000